Material: CsRbTl6
Method: DFT, PBE
State: relaxed

D(E_F) = 1.725 states/eV/cell
Formation energy = -0.078 eV/atom

Unit cell a=5.2470 b=8.6655 c=8.6655 alpha=59.54 beta=90.00 gamma=90.00
Last column: nearest neighbours and their distance in Å.
Atoms (fractional coordinates):
Cs: 0.0000 0.0000 0.0000  10 Tl 3.91-4.31
Rb: 0.5000 0.3220 0.3220  10 Tl 3.90-4.31
Tl: 0.0000 0.5139 0.5139  6 Tl 3.36-3.53
Tl: 0.0000 0.5326 0.9110  6 Tl 3.18-3.53
Tl: 0.0000 0.9110 0.5326  6 Tl 3.18-3.53
Tl: 0.5000 0.4137 0.7903  6 Tl 3.18-3.48
Tl: 0.5000 0.7903 0.4137  6 Tl 3.18-3.48
Tl: 0.5000 0.8070 0.8070  6 Tl 3.34-3.48